(1)
Entry from the Alexandria database: a relaxed HfAl3Ni crystal (PBE).

a = 4.1057 Å, b = 4.1583 Å, c = 5.3289 Å
α = 112.96°, β = 90.00°, γ = 90.00°
With the nearest neighbours (Å) after each atom.
Fractional positions:
1 Hf 0.5000 0.0481 0.0961  2 Ni 2.68, 9 Al 2.86-2.93
2 Al 0.0000 0.2504 0.5008  2 Ni 2.39
3 Al 0.0000 0.5337 0.0674  2 Ni 2.57, 1 Al 2.78
4 Al 0.5000 0.7525 0.5050  2 Ni 2.40
5 Ni 0.5000 0.3754 0.7508  6 Al 2.39-2.57

Values from the calculation:
As for the space-group type: Amm2, No. 38. The value obtained for the final energy is -5.79 eV/atom. The value obtained for the formation energy is -401 meV per atom. Its density of states at the Fermi level is 2.272 states/eV per cell. The offset from the most stable computed form is 97.1 meV/atom.


(2)
Entry from the Alexandria database: a relaxed HfAlNi2 crystal (PBE).

a = 3.9317 Å, b = 3.9317 Å, c = 8.7349 Å
α = 76.99°, β = 76.99°, γ = 90.00°
With the nearest neighbours (Å) after each atom.
Fractional positions:
1 Hf 0.0000 0.0000 0.0000  4 Ni 2.57, 4 Al 2.78
2 Hf 0.7500 0.2500 0.5000  4 Ni 2.57, 4 Al 2.78
3 Al 0.5000 0.5000 0.0000  4 Ni 2.42
4 Al 0.2500 0.7500 0.5000  4 Ni 2.42
5 Ni 0.3750 0.4235 0.7500  2 Al 2.42, 2 Ni 2.52, 2 Hf 2.57
6 Ni 0.8750 0.8265 0.7500  2 Al 2.42, 2 Ni 2.52, 2 Hf 2.57
7 Ni 0.5765 0.1250 0.2500  2 Al 2.42, 2 Ni 2.52, 2 Hf 2.57
8 Ni 0.1735 0.6250 0.2500  2 Al 2.42, 2 Ni 2.52, 2 Hf 2.57

Values from the calculation:
As for the space-group type: I-42d, No. 122. The value obtained for the final energy is -6.29 eV/atom. The value obtained for the formation energy is 28 meV per atom. Its density of states at the Fermi level is 6.577 states/eV per cell.


(3)
Entry from the Alexandria database: a relaxed HfAl2Ni2 crystal (PBE).

a = 7.2956 Å, b = 7.2956 Å, c = 2.6702 Å
α = 90.00°, β = 90.00°, γ = 90.00°
With the nearest neighbours (Å) after each atom.
Fractional positions:
1 Ni 0.6668 0.8332 0.5000  6 Al 2.50-2.55, 2 Ni 2.67
2 Ni 0.3332 0.1668 0.5000  6 Al 2.50-2.55, 2 Ni 2.67
3 Ni 0.8332 0.3332 0.5000  6 Al 2.50-2.55, 2 Ni 2.67
4 Ni 0.1668 0.6668 0.5000  6 Al 2.50-2.55, 2 Ni 2.67
5 Hf 0.5000 0.5000 0.0000  2 Hf 2.67, 4 Al 2.87
6 Hf 0.0000 0.0000 0.0000  2 Hf 2.67, 4 Al 2.87
7 Al 0.1285 0.3715 0.0000  6 Ni 2.50-2.55, 3 Al 2.65-2.67
8 Al 0.6285 0.1285 0.0000  6 Ni 2.50-2.55, 3 Al 2.65-2.67
9 Al 0.8715 0.6285 0.0000  6 Ni 2.50-2.55, 3 Al 2.65-2.67
10 Al 0.3715 0.8715 0.0000  6 Ni 2.50-2.55, 3 Al 2.65-2.67

Values from the calculation:
As for the space-group type: P4/mbm, No. 127. The value obtained for the final energy is -6.25 eV/atom. The value obtained for the formation energy is -449 meV per atom. Its density of states at the Fermi level is 7.359 states/eV per cell. The offset from the most stable computed form is 43.9 meV/atom.


(4)
Entry from the Alexandria database: a relaxed HfAl2Ni crystal (PBE).

a = 3.7919 Å, b = 3.7919 Å, c = 10.0511 Å
α = 79.13°, β = 79.13°, γ = 90.00°
With the nearest neighbours (Å) after each atom.
Fractional positions:
1 Hf 0.0000 0.0000 0.0000  4 Ni 2.68, 4 Al 2.78
2 Hf 0.7500 0.2500 0.5000  4 Ni 2.68, 4 Al 2.78
3 Ni 0.2500 0.7500 0.5000  4 Hf 2.68, 4 Al 2.75
4 Ni 0.5000 0.5000 0.0000  4 Hf 2.68, 4 Al 2.75
5 Al 0.1359 0.6250 0.2500  4 Al 2.62-2.74, 2 Ni 2.75, 2 Hf 2.78
6 Al 0.6141 0.1250 0.2500  4 Al 2.62-2.74, 2 Ni 2.75, 2 Hf 2.78
7 Al 0.8750 0.8641 0.7500  4 Al 2.62-2.74, 2 Ni 2.75, 2 Hf 2.78
8 Al 0.3750 0.3859 0.7500  4 Al 2.62-2.74, 2 Ni 2.75, 2 Hf 2.78

Values from the calculation:
As for the space-group type: I-42d, No. 122. The value obtained for the final energy is -5.78 eV/atom. The value obtained for the formation energy is 30 meV per atom. Its density of states at the Fermi level is 6.740 states/eV per cell.


(5)
Entry from the Alexandria database: a relaxed HfAl3Ni crystal (PBE).

a = 5.1331 Å, b = 5.1331 Å, c = 5.1331 Å
α = 90.00°, β = 90.00°, γ = 90.00°
With the nearest neighbours (Å) after each atom.
Fractional positions:
1 Al 0.5000 0.0000 0.0000  2 Hf 2.57
2 Al 0.0000 0.0000 0.5000  2 Hf 2.57
3 Al 0.0000 0.5000 0.0000  2 Hf 2.57
4 Hf 0.0000 0.0000 0.0000  6 Al 2.57
5 Ni 0.5000 0.5000 0.5000  12 Al 3.63

Values from the calculation:
As for the space-group type: Pm-3m, No. 221. The value obtained for the final energy is -3.96 eV/atom. The value obtained for the formation energy is 1437 meV per atom. Its density of states at the Fermi level is 4.556 states/eV per cell. The offset from the most stable computed form is 1934.9 meV/atom.


(6)
Entry from the Alexandria database: a relaxed Hf3AlNi12 crystal (PBE).

a = 3.6952 Å, b = 3.6952 Å, c = 14.6834 Å
α = 90.00°, β = 90.00°, γ = 90.00°
With the nearest neighbours (Å) after each atom.
Fractional positions:
1 Hf 0.0000 0.0000 0.7579  12 Ni 2.61-2.66
2 Hf 0.0000 0.0000 0.5000  12 Ni 2.61-2.63
3 Hf 0.0000 0.0000 0.2421  12 Ni 2.61-2.66
4 Ni 0.0000 0.5000 0.3723  8 Ni 2.61-2.63, 4 Hf 2.63-2.66
5 Ni 0.5000 0.0000 0.8838  2 Al 2.52, 8 Ni 2.52-2.65, 2 Hf 2.61
6 Ni 0.5000 0.5000 0.2452  4 Hf 2.61, 8 Ni 2.63-2.65
7 Ni 0.5000 0.5000 0.7548  4 Hf 2.61, 8 Ni 2.63-2.65
8 Ni 0.5000 0.0000 0.3723  8 Ni 2.61-2.63, 4 Hf 2.63-2.66
9 Ni 0.0000 0.5000 0.6277  8 Ni 2.61-2.63, 4 Hf 2.63-2.66
10 Ni 0.0000 0.5000 0.8838  8 Ni 2.52-2.65, 2 Al 2.52, 2 Hf 2.61
11 Ni 0.5000 0.5000 0.0000  8 Ni 2.52, 4 Al 2.61
12 Ni 0.5000 0.5000 0.5000  4 Hf 2.61, 8 Ni 2.63
13 Ni 0.5000 0.0000 0.1162  8 Ni 2.52-2.65, 2 Al 2.52, 2 Hf 2.61
14 Ni 0.5000 0.0000 0.6277  8 Ni 2.61-2.63, 4 Hf 2.63-2.66
15 Ni 0.0000 0.5000 0.1162  8 Ni 2.52-2.65, 2 Al 2.52, 2 Hf 2.61
16 Al 0.0000 0.0000 0.0000  12 Ni 2.52-2.61

Values from the calculation:
As for the space-group type: P4/mmm, No. 123. The value obtained for the final energy is -6.94 eV/atom. The value obtained for the formation energy is -508 meV per atom. Its density of states at the Fermi level is 6.896 states/eV per cell.


(7)
Entry from the Alexandria database: a relaxed Hf3AlNi crystal (PBE).

a = 4.7752 Å, b = 4.7752 Å, c = 4.7752 Å
α = 90.00°, β = 90.00°, γ = 90.00°
With the nearest neighbours (Å) after each atom.
Fractional positions:
1 Hf 0.0000 0.0000 0.5000  2 Ni 2.39
2 Hf 0.0000 0.5000 0.0000  2 Ni 2.39
3 Hf 0.5000 0.0000 0.0000  2 Ni 2.39
4 Ni 0.0000 0.0000 0.0000  6 Hf 2.39
5 Al 0.5000 0.5000 0.5000  12 Hf 3.38

Values from the calculation:
As for the space-group type: Pm-3m, No. 221. The value obtained for the final energy is -7.74 eV/atom. The value obtained for the formation energy is 139 meV per atom. Its density of states at the Fermi level is 4.175 states/eV per cell. The offset from the most stable computed form is 0.0 meV/atom.


(8)
Entry from the Alexandria database: a relaxed Hf2Al4Ni crystal (PBE).

a = 4.2960 Å, b = 4.2960 Å, c = 7.7831 Å
α = 73.98°, β = 73.98°, γ = 90.00°
With the nearest neighbours (Å) after each atom.
Fractional positions:
1 Hf 0.3506 0.3506 0.2988  5 Al 2.71-3.03
2 Hf 0.6494 0.6494 0.7012  5 Al 2.71-3.03
3 Ni 0.0000 0.0000 0.0000  6 Al 2.15-2.32
4 Al 0.5000 0.0000 0.0000  2 Ni 2.15
5 Al 0.1616 0.1616 0.6768  1 Ni 2.32
6 Al 0.0000 0.5000 0.0000  2 Ni 2.15
7 Al 0.8384 0.8384 0.3232  1 Ni 2.32

Values from the calculation:
As for the space-group type: I4/mmm, No. 139. The value obtained for the final energy is -5.72 eV/atom. The value obtained for the formation energy is 88 meV per atom. Its density of states at the Fermi level is 2.808 states/eV per cell.


(9)
Entry from the Alexandria database: a relaxed HfAlNi4 crystal (PBE).

a = 3.2400 Å, b = 4.6397 Å, c = 6.2194 Å
α = 105.50°, β = 74.90°, γ = 69.56°
With the nearest neighbours (Å) after each atom.
Fractional positions:
1 Al 0.5000 0.5000 0.5000  10 Ni 2.49-2.77
2 Hf 0.0000 0.0000 0.0000  10 Ni 2.63-2.69, 2 Al 2.93
3 Ni 0.3103 0.0277 0.3518  3 Al 2.49-2.77, 6 Ni 2.49-2.73, 2 Hf 2.63
4 Ni 0.8551 0.4732 0.8165  2 Al 2.53, 6 Ni 2.58-2.73, 3 Hf 2.66-2.69
5 Ni 0.6897 0.9723 0.6482  3 Al 2.49-2.77, 6 Ni 2.49-2.73, 2 Hf 2.63
6 Ni 0.1449 0.5268 0.1835  2 Al 2.53, 6 Ni 2.58-2.73, 3 Hf 2.66-2.69

Values from the calculation:
As for the space-group type: C2/m, No. 12. The value obtained for the final energy is -6.56 eV/atom. The value obtained for the formation energy is -425 meV per atom. Its density of states at the Fermi level is 3.936 states/eV per cell.


(10)
Entry from the Alexandria database: a relaxed HfAlNi6 crystal (PBE).

a = 4.1639 Å, b = 5.2041 Å, c = 5.2041 Å
α = 119.99°, β = 90.00°, γ = 90.00°
With the nearest neighbours (Å) after each atom.
Fractional positions:
1 Al 0.0000 0.0834 0.9166  12 Ni 2.58-2.60
2 Ni 0.0000 0.5922 0.4078  8 Ni 2.46-2.74, 2 Al 2.60, 2 Hf 2.62
3 Ni 0.5000 0.9147 0.5799  8 Ni 2.54-2.63, 2 Al 2.58, 2 Hf 2.60
4 Ni 0.0000 0.5924 0.9346  8 Ni 2.46-2.74, 2 Al 2.60, 2 Hf 2.62
5 Ni 0.0000 0.0654 0.4076  8 Ni 2.46-2.74, 2 Al 2.60, 2 Hf 2.62
6 Ni 0.5000 0.4201 0.0853  8 Ni 2.54-2.63, 2 Al 2.58, 2 Hf 2.60
7 Ni 0.5000 0.9149 0.0851  8 Ni 2.54-2.63, 2 Al 2.58, 2 Hf 2.60
8 Hf 0.5000 0.4165 0.5835  12 Ni 2.60-2.62

Values from the calculation:
As for the space-group type: P-6m2, No. 187. The value obtained for the final energy is -6.47 eV/atom. The value obtained for the formation energy is -425 meV per atom. Its density of states at the Fermi level is 7.211 states/eV per cell. The offset from the most stable computed form is 49.3 meV/atom.